Below is a relaxed Hg6AsPI2 crystal, with properties calculated at the PBE-GGA level.

Cell and atoms, written as POSCAR:
```
Hg6AsPI2
1.0
7.526 0.000 -0.021
0.000 7.523 0.000
0.038 0.000 10.795
As Hg I P
2 12 4 2
direct
0.000 0.500 0.500
0.500 0.000 0.000
0.482 0.999 0.746
0.236 0.244 0.009
0.744 0.264 0.991
0.018 0.499 0.754
0.982 0.501 0.246
0.764 0.756 0.991
0.244 0.236 0.491
0.736 0.256 0.509
0.756 0.764 0.509
0.256 0.736 0.009
0.264 0.744 0.491
0.518 0.001 0.254
0.000 0.001 0.750
0.000 0.999 0.250
0.500 0.499 0.250
0.500 0.501 0.750
0.000 0.500 0.000
0.500 0.000 0.500
```

Calculated values
Uncorrected formation energy = -15 meV/atom
Final energy = -1.512 eV per atom

=====

Below is a relaxed HgAsPbI6 crystal, with properties calculated at the PBE-GGA level.

Cell and atoms, written as POSCAR:
```
HgAsPbI6
1.0
7.720 -0.001 0.001
3.859 6.689 0.000
0.009 -0.003 7.273
Hg I As Pb
1 6 1 1
direct
0.000 0.000 0.000
0.327 0.034 0.740
0.034 0.327 0.261
0.639 0.034 0.260
0.034 0.638 0.740
0.327 0.638 0.261
0.638 0.327 0.739
0.333 0.333 0.500
0.667 0.667 0.500
```

Calculated values
Uncorrected formation energy = -262 meV/atom
Final energy = -2.258 eV per atom

=====

Below is a relaxed Pr4HgAsI2 crystal, with properties calculated at the PBE-GGA level.

Cell and atoms, written as POSCAR:
```
Pr4HgAsI2
1.0
-4.079 1.552 0.141
-1.809 -4.179 -6.307
-1.504 -4.542 6.491
Pr I As Hg
4 2 1 1
direct
0.500 0.247 0.216
0.000 0.276 0.794
0.500 0.753 0.784
0.000 0.724 0.206
0.500 0.000 0.500
0.000 0.500 0.500
0.500 0.500 0.000
0.000 0.000 0.000
```

Calculated values
Uncorrected formation energy = -967 meV/atom
Final energy = -4.364 eV per atom

=====

Which of these has the highest uncorrected formation energy?
Hg6AsPI2

=====

The lowest final energy belongs to which entry?
Pr4HgAsI2